(1)
DFT (PBE) results for an optimized crystal structure of Na3Tb2YO6.

Unit cell a=5.9672 b=5.9672 c=5.9344 alpha=99.65 beta=99.65 gamma=120.00
Fractional positions:
O  0.5968  0.9293  0.7882
Na  0.1663  0.8337  0.5000
O  0.0707  0.4032  0.2118
O  0.7381  0.7381  0.2116
Na  0.8337  0.1663  0.5000
O  0.2619  0.2619  0.7884
Y  0.0000  0.0000  0.0000
Tb  0.3333  0.6667  0.0000
Tb  0.6667  0.3333  0.0000
O  0.9293  0.5968  0.7882
Na  0.5000  0.5000  0.5000
O  0.4032  0.0707  0.2118

Space group: C2/m, No. 12

---

(2)
DFT (PBE) results for an optimized crystal structure of Na3TbY2O6.

Unit cell a=5.9568 b=5.9568 c=5.9329 alpha=99.63 beta=99.63 gamma=120.00
Fractional positions:
O  0.7364  0.7364  0.2118
Na  0.5000  0.5000  0.5000
O  0.5953  0.9294  0.7883
O  0.0706  0.4047  0.2117
Y  0.3334  0.6666  0.0000
Y  0.6666  0.3334  0.0000
O  0.4047  0.0706  0.2117
O  0.2636  0.2636  0.7882
Tb  0.0000  0.0000  0.0000
Na  0.1670  0.8330  0.5000
O  0.9294  0.5953  0.7883
Na  0.8330  0.1670  0.5000

Space group: C2/m, No. 12

---

(3)
DFT (PBE) results for an optimized crystal structure of NaTc2O5.

Unit cell a=2.8372 b=6.0798 c=6.0798 alpha=53.31 beta=76.51 gamma=76.51
Fractional positions:
Tc  0.1822  0.3178  0.3178
Tc  0.8178  0.6822  0.6822
Na  0.0000  0.0000  0.0000
O  0.3434  0.3817  0.9314
O  0.3434  0.9314  0.3817
O  0.6566  0.6183  0.0686
O  0.6566  0.0686  0.6183
O  0.0000  0.5000  0.5000

Space group: Immm, No. 71

---

(4)
DFT (PBE) results for an optimized crystal structure of NaTc2O6.

Unit cell a=5.9207 b=6.3755 c=6.3755 alpha=120.00 beta=90.00 gamma=90.00
Fractional positions:
O  0.2282  0.3609  0.1804
O  0.2282  0.8196  0.6391
O  0.7718  0.1804  0.3609
Na  0.0000  0.0000  0.0000
Tc  0.2866  0.6667  0.3333
O  0.7718  0.6391  0.8196
Tc  0.7134  0.3333  0.6667
O  0.2282  0.8196  0.1804
O  0.7718  0.1804  0.8196

Polymorph energy (0 for the lowest one) in meV/atom: 300
Space group: P-3m1, No. 164

---

(5)
DFT (PBE) results for an optimized crystal structure of NaTcO6.

Unit cell a=6.0016 b=6.0016 c=6.0016 alpha=60.00 beta=60.00 gamma=60.00
Fractional positions:
O  0.2202  0.2202  0.7798
Tc  0.0000  0.0000  0.0000
O  0.7798  0.2202  0.7798
O  0.7798  0.2202  0.2202
O  0.7798  0.7798  0.2202
O  0.2202  0.7798  0.2202
O  0.2202  0.7798  0.7798
Na  0.5000  0.5000  0.5000

Space group: Fm-3m, No. 225

---

(6)
DFT (PBE) results for an optimized crystal structure of NaTc2O6.

Unit cell a=5.3055 b=5.3055 c=5.0365 alpha=90.00 beta=90.00 gamma=120.00
Fractional positions:
O  0.3865  0.0000  0.7049
O  0.0000  0.6135  0.2951
O  0.6135  0.0000  0.2951
O  0.3865  0.3865  0.2951
Na  0.0000  0.0000  0.0000
Tc  0.3333  0.6667  0.5000
O  0.0000  0.3865  0.7049
O  0.6135  0.6135  0.7049
Tc  0.6667  0.3333  0.5000

Polymorph energy (0 for the lowest one) in meV/atom: 0
Space group: P-31m, No. 162

---

(7)
DFT (PBE) results for an optimized crystal structure of NaTcO2.

Unit cell a=3.7712 b=3.7712 c=3.7712 alpha=60.00 beta=60.00 gamma=60.00
Fractional positions:
O  0.2500  0.2500  0.2500
O  0.7500  0.7500  0.7500
Na  0.0000  0.0000  0.0000
Tc  0.5000  0.5000  0.5000

Polymorph energy (0 for the lowest one) in meV/atom: 507
Space group: Fm-3m, No. 225

---

(8)
DFT (PBE) results for an optimized crystal structure of Na5TcO6.

Unit cell a=5.6544 b=6.4676 c=5.6902 alpha=106.87 beta=100.30 gamma=124.04
Fractional positions:
O  0.1443  0.9297  0.2775
O  0.8668  0.6522  0.7225
Na  0.0000  0.5000  0.0000
O  0.8557  0.0703  0.7225
O  0.5930  0.7964  0.0000
O  0.1332  0.3478  0.2775
O  0.4070  0.2036  0.0000
Na  0.3331  0.3331  0.6662
Na  0.6710  0.1710  0.3420
Tc  0.0000  0.0000  0.0000
Na  0.6669  0.6669  0.3338
Na  0.3290  0.8290  0.6580

Space group: C2/m, No. 12

---

(9)
DFT (PBE) results for an optimized crystal structure of Na2TcO5.

Unit cell a=3.8727 b=6.1874 c=10.8096 alpha=90.00 beta=90.00 gamma=108.24
Fractional positions:
O  0.2653  0.5306  0.3866
O  0.0428  0.0856  0.1484
O  0.9572  0.9144  0.8516
O  0.3169  0.6338  0.7500
Na  0.1367  0.2734  0.5626
O  0.0428  0.0856  0.3516
Tc  0.1762  0.3524  0.2500
O  0.7347  0.4694  0.6134
O  0.6831  0.3662  0.2500
Na  0.1367  0.2734  0.9374
O  0.7347  0.4694  0.8866
Na  0.8633  0.7266  0.4374
O  0.2653  0.5306  0.1134
Tc  0.8238  0.6476  0.7500
O  0.9572  0.9144  0.6484
Na  0.8633  0.7266  0.0626

Space group: Cmcm, No. 63

---

(10)
DFT (PBE) results for an optimized crystal structure of Na3TcO.

Unit cell a=4.6891 b=4.6891 c=4.6891 alpha=90.00 beta=90.00 gamma=90.00
Fractional positions:
Na  0.5000  0.0000  0.0000
Na  0.0000  0.0000  0.5000
O  0.0000  0.0000  0.0000
Tc  0.5000  0.5000  0.5000
Na  0.0000  0.5000  0.0000

Polymorph energy (0 for the lowest one) in meV/atom: 0
Space group: Pm-3m, No. 221

---

(11)
DFT (PBE) results for an optimized crystal structure of NaTc2O8.

Unit cell a=6.4359 b=6.4242 c=6.2354 alpha=107.71 beta=90.00 gamma=120.06
Fractional positions:
O  0.8865  0.7731  0.6051
O  0.6316  0.7023  0.1871
O  0.9293  0.2977  0.8129
Tc  0.8067  0.6135  0.3075
Na  0.0000  0.0000  0.0000
O  0.6432  0.2865  0.2481
Tc  0.1933  0.3865  0.6925
O  0.1135  0.2269  0.3949
O  0.3568  0.7135  0.7519
O  0.3684  0.2977  0.8129
O  0.0707  0.7023  0.1871

Polymorph energy (0 for the lowest one) in meV/atom: 0
Space group: C2/m, No. 12

---

(12)
DFT (PBE) results for an optimized crystal structure of Na2Tc2O7.

Unit cell a=5.5296 b=5.9902 c=5.9902 alpha=115.22 beta=96.75 gamma=96.75
Fractional positions:
Tc  0.3783  0.2502  0.2502
O  0.5000  0.0000  0.0000
O  0.3052  0.5642  0.5642
O  0.6948  0.4358  0.4358
O  0.7768  0.9368  0.6326
O  0.7768  0.6326  0.9368
O  0.2232  0.0632  0.3674
Na  0.0000  0.3211  0.6789
Tc  0.6217  0.7498  0.7498
Na  0.0000  0.6789  0.3211
O  0.2232  0.3674  0.0632

Space group: C2/m, No. 12

---

| no. | formation energy (no corrections) (eV/f.u.) | uncorrected energy (eV per atom) |
| --- | --- | --- |
| 1 | -33.33 | -6.897 |
| 2 | -33.33 | -7.050 |
| 3 | -10.80 | -7.205 |
| 4 | -9.83 | -6.847 |
| 5 | -2.87 | -5.538 |
| 6 | -12.52 | -7.147 |
| 7 | -2.46 | -6.014 |
| 8 | -18.64 | -5.446 |
| 9 | -10.00 | -5.975 |
| 10 | 1.36 | -3.585 |
| 11 | -13.56 | -6.843 |
| 12 | -17.22 | -6.845 |